Mg3ZrPd, relaxed, DFT PBE; magnetization = 0.000 μB per formula unit; polymorph energy (0 for the lowest one) = 0.000 eV/atom; energy of formation = 0.123 eV/atom; E = -3.58 eV/atom
1.0
-0.266 2.644 4.057
0.071 -4.061 2.651
4.842 0.205 0.184
Mg Zr Pd
3 1 1
Direct
0.000 0.500 0.000
0.000 0.000 0.500
0.500 0.000 0.000
0.500 0.500 0.500
0.000 0.000 0.000

BaMgH3, relaxed, DFT PBE; magnetization = 0.000 μB per formula unit; polymorph energy (0 for the lowest one) = 0.000 eV/atom; E = -2.96 eV/atom
1.0
3.720 0.000 0.000
0.000 6.456 0.687
-1.860 0.517 6.812
Ba Mg H
2 2 6
Direct
0.842 0.210 0.683
0.158 0.790 0.317
0.578 0.295 0.156
0.422 0.705 0.844
0.036 0.175 0.072
0.964 0.825 0.928
0.325 0.952 0.650
0.675 0.048 0.350
0.193 0.362 0.386
0.807 0.638 0.614

Pm2AgSb4Pd3, relaxed, DFT PBE; magnetization = 0.000 μB per formula unit; energy relative to the elements, uncorrected = -15.93 kcal/mol of atoms; E = -5.13 eV/atom
1.0
4.472 0.000 0.000
0.000 4.472 0.000
0.000 0.000 11.579
Pm Ag Sb Pd
2 1 4 3
Direct
0.500 0.000 0.263
0.000 0.500 0.737
0.500 0.500 0.500
0.500 0.500 0.000
0.000 0.000 0.000
0.500 0.000 0.639
0.000 0.500 0.361
0.000 0.000 0.500
0.500 0.000 0.862
0.000 0.500 0.138

TaBeGe3, relaxed, DFT PBE; magnetization = 0.000 μB per formula unit; polymorph energy (0 for the lowest one) = 0.063 eV/atom; energy of formation = 0.928 eV/atom; E = -4.96 eV/atom
1.0
5.018 0.000 0.000
0.000 5.018 0.000
0.000 0.000 5.018
Be Ge Ta
1 3 1
Direct
0.500 0.500 0.500
0.000 0.500 0.000
0.000 0.000 0.500
0.500 0.000 0.000
0.000 0.000 0.000

CsTlCdHg2, relaxed, DFT PBE; magnetization = 0.000 μB per formula unit; polymorph energy (0 for the lowest one) = 0.095 eV/atom; energy of formation = -0.041 eV/atom; E = -0.99 eV/atom
1.0
-1.259 -2.238 -5.233
5.157 -2.717 -0.079
-2.380 -4.592 2.537
Cs Tl Hg Cd
1 1 2 1
Direct
0.500 0.500 0.500
0.000 0.000 0.500
0.000 0.500 0.000
0.500 0.000 0.000
0.000 0.000 0.000

CeMg2Rh2, relaxed, DFT PBE; magnetization = 0.005 μB per formula unit; polymorph energy (0 for the lowest one) = 0.000 eV/atom; energy of formation = -0.538 eV/atom; E = -5.30 eV/atom
1.0
-2.521 -3.391 -1.857
-0.225 -4.106 2.096
-4.406 1.720 2.870
Ce Mg Rh
1 2 2
Direct
0.500 0.000 0.000
0.833 0.333 0.627
0.167 0.667 0.373
0.833 0.333 0.136
0.167 0.667 0.864